A plane-wave DFT calculation with PBE-GGA was carried out for a geometry-optimized CrNiMo2 structure.

Summary:
Crystal system: monoclinic
Energy above the most stable polymorph in this dataset (eV/atom): 0.092
ΔE_f (eV/f.u.): 0.74
V (Å³ per cell): 54.8
Uncorrected energy (eV for the cell shown): -36.33

Unit cell a=4.6498 b=4.6498 c=4.7143 alpha=98.34 beta=98.34 gamma=32.93
Closest atoms and distances in Å follow each position.
Fractional positions:
Cr (0.0000, 0.0000, 0.0000)  3 Ni 2.55-2.84, 7 Mo 2.56-2.80, 2 Cr 2.64
Ni (0.7283, 0.7283, 0.2456)  3 Cr 2.55-2.84, 7 Mo 2.62-2.74, 2 Ni 2.64
Mo (0.2380, 0.2380, 0.7587)  3 Cr 2.56-2.77, 3 Mo 2.64-2.66, 4 Ni 2.66-2.74
Mo (0.4720, 0.4720, 0.4699)  4 Cr 2.62-2.80, 3 Ni 2.62-2.66, 5 Mo 2.64-2.87